Here is an optimized crystal structure of Ce2Pm5Pb4 from the Alexandria database. Energies are from GGA-PBE.

```
Ce2Pm5Pb4
1.0
-2.929 0.115 -2.000
-4.675 -1.699 6.748
4.745 13.017 -3.051
Ce Pb Pm
2 4 5
Direct
0.266 0.362 0.531
0.734 0.638 0.469
0.960 0.270 0.920
0.407 0.535 0.814
0.593 0.465 0.186
0.040 0.730 0.080
0.500 0.000 0.000
0.180 0.872 0.360
0.132 0.205 0.264
0.820 0.128 0.640
0.868 0.795 0.736
```

Summary:
* VASP energy: -4.633 eV/atom
* ρ: 8.71 g/cm³
* DFT formation energy: -0.0464 eV/atom


Here is an optimized crystal structure of CePmPb3 from the Alexandria database. Energies are from GGA-PBE.

```
CePmPb3
1.0
5.805 0.000 0.000
-2.903 7.932 1.326
0.000 0.531 6.544
Pb Pm Ce
6 2 2
Direct
0.602 0.203 0.997
0.998 0.996 0.745
0.790 0.581 0.633
0.210 0.419 0.367
0.398 0.797 0.003
0.002 0.003 0.255
0.806 0.612 0.120
0.194 0.388 0.880
0.589 0.177 0.499
0.411 0.823 0.501
```

Summary:
* VASP energy: -4.697 eV/atom
* ρ: 10.13 g/cm³
* DFT formation energy: -0.3356 eV/atom


Here is an optimized crystal structure of Ce7PmPb4 from the Alexandria database. Energies are from GGA-PBE.

```
Ce7PmPb4
1.0
5.961 0.000 0.000
2.981 10.148 -0.356
2.981 0.020 6.093
Pm Ce Pb
1 7 4
Direct
0.000 0.000 0.000
0.797 0.892 0.515
0.203 0.108 0.485
0.629 0.459 0.283
0.371 0.541 0.717
0.977 0.351 0.695
0.500 0.000 0.000
0.023 0.649 0.305
0.725 0.670 0.880
0.400 0.789 0.411
0.275 0.330 0.120
0.600 0.211 0.589
```

Summary:
* VASP energy: -5.172 eV/atom
* ρ: 8.80 g/cm³
* DFT formation energy: -0.0782 eV/atom